# 1
A plane-wave DFT calculation with PBE was carried out for a relaxed structure of SrLi2CaTl2.

CIF file:
```
data_SrLi2CaTl2
_chemical_formula_sum 'Sr1 Li2 Ca1 Tl2'
_cell_length_a 5.0923
_cell_length_b 5.0923
_cell_length_c 7.5565
_cell_angle_alpha 90.00
_cell_angle_beta 90.00
_cell_angle_gamma 120.00
_symmetry_space_group_name_H-M 'P -3 m 1'
_symmetry_Int_Tables_number 164
_symmetry_space_group_name_Hall '-P 3 2"'
loop_
_atom_site_label
_atom_site_fract_x
_atom_site_fract_y
_atom_site_fract_z
Sr1 0.0000 0.0000 0.0000
Li1 0.3333 0.6667 0.7097
Ca1 0.0000 0.0000 0.5000
Tl1 0.3333 0.6667 0.2850
```

Computed properties:
- Total energy: -2.3268 eV/atom
- Mass density: 5.4 g/cm3
- ΔE_f: -286 meV per atom



# 2
A plane-wave DFT calculation with PBE was carried out for a relaxed structure of Ce3Sb2H2.

CIF file:
```
data_Ce3Sb2H2
_chemical_formula_sum 'Ce12 Sb8 H8'
_cell_length_a 4.071
_cell_length_b 20.235
_cell_length_c 7.730
_cell_angle_alpha 90.00
_cell_angle_beta 90.00
_cell_angle_gamma 90.00
_symmetry_space_group_name_H-M 'C m c m'
_symmetry_Int_Tables_number 63
_symmetry_space_group_name_Hall '-C 2c 2'
loop_
_atom_site_label
_atom_site_fract_x
_atom_site_fract_y
_atom_site_fract_z
Ce1 0.000 0.083 0.038
Ce2 0.000 0.298 0.250
Sb1 0.000 0.324 0.750
Sb2 0.000 0.472 0.250
H1 0.000 0.180 0.608
```

Computed properties:
- Total energy: -5.3657 eV/atom
- Mass density: 6.9 g/cm3



# 3
A plane-wave DFT calculation with PBE was carried out for a relaxed structure of YHoBi.

CIF file:
```
data_YHoBi
_chemical_formula_sum 'Y1 Ho1 Bi1'
_cell_length_a 5.2514
_cell_length_b 5.2514
_cell_length_c 3.8638
_cell_angle_alpha 90.00
_cell_angle_beta 90.00
_cell_angle_gamma 120.00
_symmetry_space_group_name_H-M 'P 3 m 1'
_symmetry_Int_Tables_number 156
loop_
_symmetry_equiv_pos_as_xyz
'x,y,z'
'-y,x-y,z'
'-x+y,-x,z'
'-y,-x,z'
'-x+y,y,z'
'x,x-y,z'
loop_
_atom_site_label
_atom_site_fract_x
_atom_site_fract_y
_atom_site_fract_z
Y1 0.0000 0.0000 0.0000
Ho1 0.3333 0.6667 0.5290
Bi1 0.6667 0.3333 0.2730
```

Computed properties:
- Total energy: -5.2497 eV/atom
- Mass density: 8.3 g/cm3
- ΔE_f: -275 meV per atom



# 4
A plane-wave DFT calculation with PBE was carried out for a relaxed structure of Ac2TbRh9.

CIF file:
```
data_Ac2TbRh9
_chemical_formula_sum 'Ac6 Tb3 Rh27'
_cell_length_a 5.3496
_cell_length_b 5.3496
_cell_length_c 27.2871
_cell_angle_alpha 90.00
_cell_angle_beta 90.00
_cell_angle_gamma 120.00
_symmetry_space_group_name_H-M 'R -3 m'
_symmetry_Int_Tables_number 166
_symmetry_space_group_name_Hall '-R 3 2"'
loop_
_atom_site_label
_atom_site_fract_x
_atom_site_fract_y
_atom_site_fract_z
Ac1 0.0000 0.0000 0.1376
Tb1 0.0000 0.0000 0.0000
Rh1 0.0000 0.0000 0.3326
Rh2 0.0000 0.0000 0.5000
Rh3 0.0016 0.5008 0.0786
```

Computed properties:
- Total energy: -7.0360 eV/atom
- Mass density: 11.3 g/cm3
- ΔE_f: -452 meV per atom



Repeat the first record exactly.
A plane-wave DFT calculation with PBE was carried out for a relaxed structure of SrLi2CaTl2.

CIF file:
```
data_SrLi2CaTl2
_chemical_formula_sum 'Sr1 Li2 Ca1 Tl2'
_cell_length_a 5.0923
_cell_length_b 5.0923
_cell_length_c 7.5565
_cell_angle_alpha 90.00
_cell_angle_beta 90.00
_cell_angle_gamma 120.00
_symmetry_space_group_name_H-M 'P -3 m 1'
_symmetry_Int_Tables_number 164
_symmetry_space_group_name_Hall '-P 3 2"'
loop_
_atom_site_label
_atom_site_fract_x
_atom_site_fract_y
_atom_site_fract_z
Sr1 0.0000 0.0000 0.0000
Li1 0.3333 0.6667 0.7097
Ca1 0.0000 0.0000 0.5000
Tl1 0.3333 0.6667 0.2850
```

Computed properties:
- Total energy: -2.3268 eV/atom
- Mass density: 5.4 g/cm3
- ΔE_f: -286 meV per atom



Question: Among the records above, which one has the lowest mass density?
Answer: SrLi2CaTl2



Question: What is the formula in the third record?
Answer: YHoBi